# 1
VASP calculation (PBE) on a relaxed NpPaS3 crystal.

Summary:
energy relative to the lowest polymorph listed for this composition: 0.000 eV per atom
SG: Pnma (62)
crystal system: orthorhombic
DOS at the Fermi energy: 45.7 states/eV/cell

The structure in POSCAR format:
```
NpPaS3
1.0
7.338 0.000 0.000
0.000 3.890 0.000
0.000 0.000 14.984
Np Pa S
4 4 12
Direct
0.108 0.250 0.209
0.392 0.750 0.709
0.608 0.250 0.291
0.892 0.750 0.791
0.245 0.750 0.458
0.255 0.250 0.958
0.745 0.750 0.042
0.755 0.250 0.542
0.004 0.250 0.397
0.126 0.750 0.072
0.167 0.250 0.778
0.333 0.750 0.278
0.374 0.250 0.572
0.496 0.750 0.897
0.504 0.250 0.103
0.626 0.750 0.428
0.667 0.250 0.722
0.833 0.750 0.222
0.874 0.250 0.928
0.996 0.750 0.603
```



# 2
VASP calculation (PBE) on a relaxed SbPbSe2 crystal.

Summary:
SG: Cm (8)
crystal system: monoclinic
DOS at the Fermi energy: 2.8 states/eV/cell

The structure in POSCAR format:
```
SbPbSe2
1.0
11.990 0.000 0.000
0.000 4.041 0.000
-0.009 0.000 4.571
Sb Pb Se
2 2 4
Direct
0.000 0.000 0.000
0.500 0.500 0.000
0.255 0.500 0.501
0.755 0.000 0.501
0.004 0.500 0.500
0.224 0.000 0.001
0.504 0.000 0.500
0.724 0.500 0.001
```



# 3
VASP calculation (PBE) on a relaxed RbNaLi6Si2O8 crystal.

Summary:
SG: C2/m (12)
crystal system: monoclinic
DOS at the Fermi energy: 0.0 states/eV/cell

The structure in POSCAR format:
```
RbNaLi6Si2O8
1.0
7.951 -3.192 0.000
7.951 3.192 0.000
-0.087 0.000 7.894
Rb Na Li Si O
2 2 12 4 16
Direct
0.245 0.245 0.470
0.755 0.755 0.530
0.251 0.749 0.000
0.749 0.251 0.000
0.067 0.067 0.283
0.071 0.556 0.861
0.181 0.674 0.373
0.326 0.819 0.627
0.359 0.359 0.135
0.444 0.929 0.139
0.556 0.071 0.861
0.641 0.641 0.865
0.674 0.181 0.373
0.819 0.326 0.627
0.929 0.444 0.139
0.933 0.933 0.717
0.146 0.146 0.859
0.429 0.429 0.708
0.571 0.571 0.292
0.854 0.854 0.141
0.024 0.587 0.199
0.052 0.052 0.763
0.132 0.132 0.067
0.181 0.617 0.611
0.383 0.819 0.389
0.385 0.385 0.898
0.413 0.976 0.801
0.468 0.468 0.259
0.532 0.532 0.741
0.587 0.024 0.199
0.615 0.615 0.102
0.617 0.181 0.611
0.819 0.383 0.389
0.868 0.868 0.933
0.948 0.948 0.237
0.976 0.413 0.801
```



| no. | formation energy from raw total energies (meV/atom) |
| --- | --- |
| 1 | -1569 |
| 2 | -270 |
| 3 | -2306 |